# K2Zn6O7

Crystalline K2Zn6O7 at its relaxed geometry (PBE, the Alexandria database).

Cell: 11.0415 11.0415 3.3690 Å, 90.00 90.00 90.00°
With the nearest neighbours (Å) after each atom.
Fractional coordinates of all 30 atoms:
K (0.1410, 0.1410, 0.0000)  6 O 2.77-2.95
K (0.3590, 0.6410, 0.5000)  6 O 2.77-2.95
K (0.6410, 0.3590, 0.5000)  6 O 2.77-2.95
K (0.8590, 0.8590, 0.0000)  6 O 2.77-2.95
Zn (0.0862, 0.6522, 0.0000)  4 O 1.97-2.08
Zn (0.1209, 0.8791, 0.5000)  3 O 1.89-2.01
Zn (0.1522, 0.4138, 0.5000)  4 O 1.97-2.08
Zn (0.3478, 0.9138, 0.0000)  4 O 1.97-2.08
Zn (0.3791, 0.3791, 0.0000)  3 O 1.89-2.01
Zn (0.4138, 0.1522, 0.5000)  4 O 1.97-2.08
Zn (0.5862, 0.8478, 0.5000)  4 O 1.97-2.08
Zn (0.6209, 0.6209, 0.0000)  3 O 1.89-2.01
Zn (0.6522, 0.0862, 0.0000)  4 O 1.97-2.08
Zn (0.8478, 0.5862, 0.5000)  4 O 1.97-2.08
Zn (0.8791, 0.1209, 0.5000)  3 O 1.89-2.01
Zn (0.9138, 0.3478, 0.0000)  4 O 1.97-2.08
O (0.0000, 0.0000, 0.5000)  2 Zn 1.89
O (0.0052, 0.3128, 0.5000)  3 Zn 1.97-2.00
O (0.1872, 0.5052, 0.0000)  3 Zn 1.97-2.00
O (0.1912, 0.8088, 0.0000)  4 Zn 2.01-2.08
O (0.3088, 0.3088, 0.5000)  4 Zn 2.01-2.08
O (0.3128, 0.0052, 0.5000)  3 Zn 1.97-2.00
O (0.4948, 0.8128, 0.0000)  3 Zn 1.97-2.00
O (0.5000, 0.5000, 0.0000)  2 Zn 1.89
O (0.5052, 0.1872, 0.0000)  3 Zn 1.97-2.00
O (0.6872, 0.9948, 0.5000)  3 Zn 1.97-2.00
O (0.6912, 0.6912, 0.5000)  4 Zn 2.01-2.08
O (0.8088, 0.1912, 0.0000)  4 Zn 2.01-2.08
O (0.8128, 0.4948, 0.0000)  3 Zn 1.97-2.00
O (0.9948, 0.6872, 0.5000)  3 Zn 1.97-2.00

Theoretical density (g/cm3): 4.71
Formation energy without anion corrections (eV/f.u.): -21.0